[1]
Compound: Nb2GePBr
Source: Alexandria via LeMat-Bulk
Functional: PBE-GGA
Structure: optimized geometry

```
data_Nb2GePBr
_chemical_formula_sum 'Nb2 Ge1 P1 Br1'
_symmetry_space_group_name_H-M 'P 1'
_symmetry_Int_Tables_number 1
_cell_length_a 4.824
_cell_length_b 4.706
_cell_length_c 4.824
_cell_angle_alpha 90.00
_cell_angle_beta 90.00
_cell_angle_gamma 90.00
loop_
_symmetry_equiv_pos_as_xyz
'x,y,z'
loop_
_atom_site_label
_atom_site_fract_x
_atom_site_fract_y
_atom_site_fract_z
P1 0.000 0.500 0.000
Br1 0.000 0.000 0.000
Nb1 0.500 0.000 0.000
Nb2 0.000 0.000 0.500
Ge1 0.500 0.500 0.500
```

Final energy = -4.913 eV per atom
Space group = No. 123
Crystal system = tetragonal
Total magnetization = 0.00 Bohr magnetons per cell

[2]
Compound: NbGeSe2Br
Source: Alexandria via LeMat-Bulk
Functional: PBE-GGA
Structure: optimized geometry

```
data_NbGeSe2Br
_chemical_formula_sum 'Nb1 Ge1 Se2 Br1'
_symmetry_space_group_name_H-M 'P 1'
_symmetry_Int_Tables_number 1
_cell_length_a 5.032
_cell_length_b 5.032
_cell_length_c 5.006
_cell_angle_alpha 90.00
_cell_angle_beta 90.00
_cell_angle_gamma 90.00
loop_
_symmetry_equiv_pos_as_xyz
'x,y,z'
loop_
_atom_site_label
_atom_site_fract_x
_atom_site_fract_y
_atom_site_fract_z
Ge1 0.000 0.000 0.000
Nb1 0.500 0.500 0.500
Se1 0.000 0.500 0.000
Br1 0.000 0.000 0.500
Se2 0.500 0.000 0.000
```

Final energy = -4.054 eV per atom
Space group = No. 123
Crystal system = tetragonal
Total magnetization = 2.71 Bohr magnetons per cell

[3]
Compound: NbGeSe2Br
Source: Alexandria via LeMat-Bulk
Functional: PBE-GGA
Structure: optimized geometry

```
data_NbGeSe2Br
_chemical_formula_sum 'Nb1 Ge1 Se2 Br1'
_symmetry_space_group_name_H-M 'P 1'
_symmetry_Int_Tables_number 1
_cell_length_a 5.080
_cell_length_b 5.080
_cell_length_c 5.143
_cell_angle_alpha 90.00
_cell_angle_beta 90.00
_cell_angle_gamma 90.00
loop_
_symmetry_equiv_pos_as_xyz
'x,y,z'
loop_
_atom_site_label
_atom_site_fract_x
_atom_site_fract_y
_atom_site_fract_z
Se1 0.000 0.500 0.000
Br1 0.000 0.000 0.500
Se2 0.500 0.000 0.000
Nb1 0.000 0.000 0.000
Ge1 0.500 0.500 0.500
```

Final energy = -4.602 eV per atom
Space group = No. 123
Crystal system = tetragonal
Total magnetization = 0.99 Bohr magnetons per cell

[4]
Compound: NbSi2GeBr
Source: Alexandria via LeMat-Bulk
Functional: PBE-GGA
Structure: optimized geometry

```
data_NbSi2GeBr
_chemical_formula_sum 'Nb1 Si2 Ge1 Br1'
_symmetry_space_group_name_H-M 'P 1'
_symmetry_Int_Tables_number 1
_cell_length_a 4.731
_cell_length_b 5.249
_cell_length_c 4.731
_cell_angle_alpha 90.00
_cell_angle_beta 90.00
_cell_angle_gamma 90.00
loop_
_symmetry_equiv_pos_as_xyz
'x,y,z'
loop_
_atom_site_label
_atom_site_fract_x
_atom_site_fract_y
_atom_site_fract_z
Nb1 0.000 0.500 0.000
Br1 0.500 0.500 0.500
Ge1 0.000 0.000 0.000
Si1 0.500 0.000 0.000
Si2 0.000 0.000 0.500
```

Final energy = -4.383 eV per atom
Space group = No. 123
Crystal system = tetragonal
Total magnetization = 2.04 Bohr magnetons per cell

[5]
Compound: NbZn2GeBr
Source: Alexandria via LeMat-Bulk
Functional: PBE-GGA
Structure: optimized geometry

```
data_NbZn2GeBr
_chemical_formula_sum 'Nb1 Zn2 Ge1 Br1'
_symmetry_space_group_name_H-M 'P 1'
_symmetry_Int_Tables_number 1
_cell_length_a 5.190
_cell_length_b 4.872
_cell_length_c 5.190
_cell_angle_alpha 90.00
_cell_angle_beta 90.00
_cell_angle_gamma 90.00
loop_
_symmetry_equiv_pos_as_xyz
'x,y,z'
loop_
_atom_site_label
_atom_site_fract_x
_atom_site_fract_y
_atom_site_fract_z
Br1 0.000 0.500 0.000
Zn1 0.500 0.000 0.000
Nb1 0.000 0.000 0.000
Ge1 0.500 0.500 0.500
Zn2 0.000 0.000 0.500
```

Final energy = -2.965 eV per atom
Space group = No. 123
Crystal system = tetragonal
Total magnetization = 0.00 Bohr magnetons per cell

[6]
Compound: Nd2GeBr
Source: Alexandria via LeMat-Bulk
Functional: PBE-GGA
Structure: optimized geometry

```
data_Nd2GeBr
_chemical_formula_sum 'Nd2 Ge1 Br1'
_symmetry_space_group_name_H-M 'P 1'
_symmetry_Int_Tables_number 1
_cell_length_a 4.309
_cell_length_b 4.309
_cell_length_c 7.703
_cell_angle_alpha 73.76
_cell_angle_beta 73.76
_cell_angle_gamma 60.00
loop_
_symmetry_equiv_pos_as_xyz
'x,y,z'
loop_
_atom_site_label
_atom_site_fract_x
_atom_site_fract_y
_atom_site_fract_z
Ge1 0.000 0.000 0.000
Br1 0.500 0.500 0.500
Nd1 0.738 0.738 0.787
Nd2 0.262 0.262 0.213
```

Final energy = -5.111 eV per atom
Space group = No. 166
Crystal system = trigonal
Total magnetization = 0.00 Bohr magnetons per cell

[7]
Compound: Nd4GeBr5
Source: Alexandria via LeMat-Bulk
Functional: PBE-GGA
Structure: optimized geometry

```
data_Nd4GeBr5
_chemical_formula_sum 'Nd4 Ge1 Br5'
_symmetry_space_group_name_H-M 'P 1'
_symmetry_Int_Tables_number 1
_cell_length_a 4.202
_cell_length_b 8.711
_cell_length_c 9.622
_cell_angle_alpha 102.81
_cell_angle_beta 102.61
_cell_angle_gamma 90.00
loop_
_symmetry_equiv_pos_as_xyz
'x,y,z'
loop_
_atom_site_label
_atom_site_fract_x
_atom_site_fract_y
_atom_site_fract_z
Nd1 0.654 0.081 0.307
Nd2 0.001 0.227 0.001
Nd3 0.999 0.773 0.999
Br1 0.500 0.500 0.000
Br2 0.833 0.670 0.667
Ge1 0.500 0.000 0.000
Br3 0.170 0.837 0.341
Br4 0.167 0.330 0.333
Nd4 0.346 0.919 0.693
Br5 0.830 0.163 0.659
```

Final energy = -4.737 eV per atom
Space group = No. 12
Crystal system = monoclinic
Total magnetization = 0.00 Bohr magnetons per cell

[8]
Compound: Nd4Ge2Br5
Source: Alexandria via LeMat-Bulk
Functional: PBE-GGA
Structure: optimized geometry

```
data_Nd4Ge2Br5
_chemical_formula_sum 'Nd4 Ge2 Br5'
_symmetry_space_group_name_H-M 'P 1'
_symmetry_Int_Tables_number 1
_cell_length_a 4.205
_cell_length_b 8.335
_cell_length_c 11.939
_cell_angle_alpha 83.57
_cell_angle_beta 100.14
_cell_angle_gamma 90.00
loop_
_symmetry_equiv_pos_as_xyz
'x,y,z'
loop_
_atom_site_label
_atom_site_fract_x
_atom_site_fract_y
_atom_site_fract_z
Br1 0.863 0.203 0.725
Br2 0.137 0.797 0.275
Br3 0.500 0.000 0.000
Nd1 0.986 0.283 0.973
Nd2 0.662 0.545 0.324
Ge1 0.449 0.545 0.897
Ge2 0.551 0.455 0.103
Br4 0.218 0.322 0.436
Nd3 0.338 0.455 0.676
Br5 0.782 0.678 0.564
Nd4 0.014 0.717 0.027
```

Final energy = -4.689 eV per atom
Space group = No. 12
Crystal system = monoclinic
Total magnetization = 0.00 Bohr magnetons per cell

Record-wise ρ values, in g cm⁻³: 5.6; 5.3; 5.0; 4.3; 4.8; 6.2; 5.2; 4.6